[1]
VASP calculation (PBE) on an optimized crystal structure of Ta2NbAu.

Results
Space-group type: F-43m, No. 216

Cell and atoms, written as POSCAR:
```
Ta2NbAu
1.0
-4.6050 0.7034 0.2722
-1.9281 3.6789 -2.1268
-2.6823 -0.6241 -3.7671
Au Nb Ta
1 1 2
Direct
0.5000 0.5000 0.5000
0.7500 0.7500 0.7500
0.0000 0.0000 0.0000
0.2500 0.2500 0.2500
```

***

[2]
VASP calculation (PBE) on an optimized crystal structure of Ta2Nb2Au.

Results
Space-group type: I4/mmm, No. 139
ΔE to the lowest computed polymorph (meV per atom): 0

Cell and atoms, written as POSCAR:
```
Ta2Nb2Au
1.0
3.9788 4.0111 4.4838
3.8052 6.1039 -0.5363
-6.1016 -3.6207 -1.2984
Au Nb Ta
1 2 2
Direct
0.0000 0.0000 0.0000
0.4081 0.4081 0.0000
0.5919 0.5919 0.0000
0.7500 0.2500 0.5000
0.2500 0.7500 0.5000
```

***

[3]
VASP calculation (PBE) on an optimized crystal structure of NbTc4Au.

Results
Space-group type: Cmmm, No. 65

Cell and atoms, written as POSCAR:
```
NbTc4Au
1.0
3.5562 -3.6028 0.0000
3.5562 3.6028 0.0000
0.0000 0.0000 4.8181
Au Nb Tc
1 1 4
Direct
0.5000 0.5000 0.0000
0.0000 0.0000 0.5000
0.8491 0.1509 0.0000
0.1509 0.8491 0.0000
0.3297 0.3297 0.5000
0.6703 0.6703 0.5000
```

***

| no. | E_form (eV per atom) |
| --- | --- |
| 1 | 0.10 |
| 2 | 0.74 |
| 3 | 1.60 |